Entry 1:
## NaAl3V (GGA-PBE)

Data for an optimized crystal structure of NaAl3V.

Magnetization: 2.6 μB per formula unit
Formation energy from the elements: 43 kJ per mole of atoms
VASP energy: -3.8857 eV per atom

Cell: 4.9211 4.9211 4.9211 Å, 90.00 90.00 90.00°
Sites, in units of the cell vectors:
Na (0.0000, 0.0000, 0.0000)
Al (0.0000, 0.5000, 0.5000)
Al (0.5000, 0.0000, 0.5000)
Al (0.5000, 0.5000, 0.0000)
V (0.5000, 0.5000, 0.5000)

Entry 2:
## NaLiP2Se6 (GGA-PBE)

Data for an optimized crystal structure of NaLiP2Se6.

Magnetization: 0.0 μB per formula unit
VASP energy: -3.8540 eV per atom

Cell: 9.2981 9.2981 6.7294 Å, 103.39 103.39 89.20°
Sites, in units of the cell vectors:
Na (0.1258, 0.8742, 0.7500)
Na (0.8742, 0.1258, 0.2500)
Li (0.2585, 0.7415, 0.2500)
Li (0.7415, 0.2585, 0.7500)
P (0.2007, 0.3634, 0.7837)
P (0.3634, 0.2007, 0.2837)
P (0.6366, 0.7993, 0.7163)
P (0.7993, 0.6366, 0.2163)
Se (0.0279, 0.1876, 0.6963)
Se (0.1288, 0.5853, 0.8864)
Se (0.1876, 0.0279, 0.1963)
Se (0.3023, 0.4078, 0.5148)
Se (0.4078, 0.3023, 0.0148)
Se (0.4147, 0.8712, 0.6136)
Se (0.5853, 0.1288, 0.3864)
Se (0.5922, 0.6977, 0.9852)
Se (0.6977, 0.5922, 0.4852)
Se (0.8124, 0.9721, 0.8037)
Se (0.8712, 0.4147, 0.1136)
Se (0.9721, 0.8124, 0.3037)

Which of these has the lowest VASP energy? NaAl3V